[1]
DFT (GGA-PBE) results for TbPmHoS3 after structural relaxation.

a b c (Å): 6.8465 3.8668 10.2874
angles (deg): 90.00 102.58 90.00
Space group P2_1/m (No. 11)
Inequivalent atoms, fractional coordinates:
Tb1 0.1257 0.2500 0.1311 [2 per cell]
Pm1 0.3427 0.2500 0.8040 [2 per cell]
Ho1 0.2337 0.7500 0.4441 [2 per cell]
S1 0.0526 0.7500 0.6551 [2 per cell]
S2 0.2797 0.7500 0.9973 [2 per cell]
S3 0.4538 0.2500 0.3396 [2 per cell]

## Properties
**Theoretical density**: 7.1 g/cm³
**Electronic total energy**: -6.313 eV/atom
**ΔE_f (raw)**: -1.923 eV per atom
**Size of the total moment**: 0.000 μB per atom

[2]
DFT (GGA-PBE) results for LaDyGe after structural relaxation.

a b c (Å): 7.1170 7.1170 7.1170
angles (deg): 90.00 90.00 90.00
Space group F-43m (No. 216)
Inequivalent atoms, fractional coordinates:
La1 0.0000 0.0000 0.0000 [4 per cell]
Dy1 0.0000 0.0000 0.5000 [4 per cell]
Ge1 0.2500 0.2500 0.7500 [4 per cell]

## Properties
**ΔE to the lowest computed polymorph**: 0.012 eV per atom
**Theoretical density**: 6.9 g/cm³
**Electronic total energy**: -5.249 eV/atom
**Energy of formation**: -0.53 eV per atom
**Size of the total moment**: 0.000 μB per atom

[3]
DFT (GGA-PBE) results for NaCd2P after structural relaxation.

a b c (Å): 8.6572 8.6572 5.5090
angles (deg): 90.00 90.00 90.00
Space group I-42d (No. 122)
Inequivalent atoms, fractional coordinates:
Na1 0.0000 0.0000 0.0000 [4 per cell]
Cd1 0.1616 0.2500 0.6250 [8 per cell]
P1 0.0000 0.0000 0.5000 [4 per cell]

## Properties
**Theoretical density**: 4.5 g/cm³
**Electronic total energy**: -2.160 eV/atom
**Energy of formation**: -0.02 eV per atom
**Size of the total moment**: 0.000 μB per atom

[4]
DFT (GGA-PBE) results for La2PmPd3 after structural relaxation.

a b c (Å): 13.4586 5.9959 8.4643
angles (deg): 90.00 108.46 90.00
Space group C2/c (No. 15)
Inequivalent atoms, fractional coordinates:
La1 0.1665 0.0016 0.0833 [8 per cell]
Pm1 0.0000 0.4984 0.2500 [4 per cell]
Pd1 0.0000 0.0017 0.7500 [4 per cell]
Pd2 0.1643 0.4983 0.5822 [8 per cell]

## Properties
**Theoretical density**: 7.6 g/cm³
**Electronic total energy**: -5.765 eV/atom
**Energy of formation**: -0.73 eV per atom
**Size of the total moment**: 0.000 μB per atom

[5]
DFT (GGA-PBE) results for Al4SnO7 after structural relaxation.

a b c (Å): 12.8378 5.2385 5.0525
angles (deg): 90.00 90.00 90.00
Space group Pmn2_1 (No. 31)
Inequivalent atoms, fractional coordinates:
Al1 0.1211 0.1702 0.0000 [4 per cell]
Al2 0.2452 0.6705 0.9849 [4 per cell]
Sn1 0.0000 0.6640 0.6670 [2 per cell]
O1 0.0000 0.3032 0.8992 [2 per cell]
O2 0.1260 0.8384 0.9209 [4 per cell]
O3 0.1470 0.2061 0.3319 [4 per cell]
O4 0.2185 0.3644 0.8289 [4 per cell]

## Properties
**Theoretical density**: 3.3 g/cm³
**Electronic total energy**: -7.137 eV/atom
**ΔE_f (raw)**: -2.664 eV per atom
**Size of the total moment**: 0.000 μB per atom

[6]
DFT (GGA-PBE) results for Ho5Tm12Sc after structural relaxation.

a b c (Å): 6.0590 10.4880 17.0724
angles (deg): 90.00 96.82 90.00
Space group C2/m (No. 12)
Inequivalent atoms, fractional coordinates:
Ho1 0.0000 0.0000 0.0000 [2 per cell]
Ho2 0.0000 0.1667 0.5000 [4 per cell]
Ho3 0.0000 0.3333 0.0000 [4 per cell]
Tm1 0.1108 0.3343 0.3337 [8 per cell]
Tm2 0.1139 0.0000 0.3337 [4 per cell]
Tm3 0.2233 0.1667 0.1675 [8 per cell]
Tm4 0.2236 0.5000 0.1675 [4 per cell]
Sc1 0.0000 0.5000 0.5000 [2 per cell]

## Properties
**Theoretical density**: 8.9 g/cm³
**Electronic total energy**: -4.586 eV/atom
**Energy of formation**: 0.02 eV per atom
**Size of the total moment**: 0.000 μB per atom